This record from Alexandria via LeMat-Bulk describes an optimized crystal structure of DyHo5Er3. The functional is GGA-PBE.

Properties
Energy of formation in eV/f.u.: 4.74
Symmetry: No. 12
E_tot in hartree per atom: -0.1488

```
data_DyHo5Er3
_cell_length_a 9.384
_cell_length_b 9.384
_cell_length_c 11.452
_cell_angle_alpha 52.88
_cell_angle_beta 52.88
_cell_angle_gamma 74.04
_symmetry_space_group_name_H-M 'P 1'
_symmetry_Int_Tables_number 1
loop_
_symmetry_equiv_pos_as_xyz
'x,y,z'
loop_
_atom_site_label
_atom_site_type_symbol
_atom_site_fract_x
_atom_site_fract_y
_atom_site_fract_z
Dy1 Dy 0.149 0.149 0.599
Dy2 Dy 0.851 0.851 0.401
Ho1 Ho 0.851 0.348 0.252
Ho2 Ho 0.259 0.741 0.000
Ho3 Ho 0.816 0.816 0.962
Ho4 Ho 0.490 0.490 0.233
Ho5 Ho 0.510 0.510 0.767
Ho6 Ho 0.184 0.184 0.038
Ho7 Ho 0.348 0.851 0.252
Ho8 Ho 0.741 0.259 0.000
Ho9 Ho 0.149 0.652 0.748
Ho10 Ho 0.652 0.149 0.748
Er1 Er 0.692 0.692 0.818
Er2 Er 0.659 0.659 0.362
Er3 Er 0.000 0.000 0.000
Er4 Er 0.000 0.000 0.500
Er5 Er 0.308 0.308 0.182
Er6 Er 0.341 0.341 0.638
```

***

This record from Alexandria via LeMat-Bulk describes an optimized crystal structure of DyHo6Er3. The functional is GGA-PBE.

Properties
Energy of formation in eV/f.u.: 1.49
Symmetry: No. 36
E_tot in hartree per atom: -0.1627

```
data_DyHo6Er3
_cell_length_a 6.120
_cell_length_b 10.851
_cell_length_c 10.851
_cell_angle_alpha 119.76
_cell_angle_beta 90.00
_cell_angle_gamma 90.00
_symmetry_space_group_name_H-M 'P 1'
_symmetry_Int_Tables_number 1
loop_
_symmetry_equiv_pos_as_xyz
'x,y,z'
loop_
_atom_site_label
_atom_site_type_symbol
_atom_site_fract_x
_atom_site_fract_y
_atom_site_fract_z
Dy1 Dy 0.151 0.208 0.792
Dy2 Dy 0.651 0.792 0.208
Ho1 Ho 0.033 0.711 0.618
Ho2 Ho 0.533 0.618 0.711
Ho3 Ho 0.361 0.539 0.959
Ho4 Ho 0.861 0.959 0.539
Ho5 Ho 0.420 0.952 0.048
Ho6 Ho 0.643 0.284 0.716
Ho7 Ho 0.143 0.716 0.284
Ho8 Ho 0.920 0.048 0.952
Ho9 Ho 0.361 0.041 0.461
Ho10 Ho 0.861 0.461 0.041
Ho11 Ho 0.033 0.382 0.289
Ho12 Ho 0.533 0.289 0.382
Er1 Er 0.456 0.938 0.720
Er2 Er 0.956 0.720 0.938
Er3 Er 0.072 0.390 0.610
Er4 Er 0.572 0.610 0.390
Er5 Er 0.956 0.062 0.280
Er6 Er 0.456 0.280 0.062
```

***

This record from Alexandria via LeMat-Bulk describes an optimized crystal structure of DyHo3Er7. The functional is GGA-PBE.

Properties
Energy of formation in eV/f.u.: 3.09
Symmetry: No. 12
E_tot in hartree per atom: -0.1576

```
data_DyHo3Er7
_cell_length_a 5.715
_cell_length_b 8.316
_cell_length_c 8.316
_cell_angle_alpha 83.19
_cell_angle_beta 110.16
_cell_angle_gamma 110.16
_symmetry_space_group_name_H-M 'P 1'
_symmetry_Int_Tables_number 1
loop_
_symmetry_equiv_pos_as_xyz
'x,y,z'
loop_
_atom_site_label
_atom_site_type_symbol
_atom_site_fract_x
_atom_site_fract_y
_atom_site_fract_z
Dy1 Dy 0.500 0.500 0.500
Ho1 Ho 0.000 0.792 0.208
Ho2 Ho 0.500 0.000 0.000
Ho3 Ho 0.000 0.208 0.792
Er1 Er 0.208 0.207 0.207
Er2 Er 0.297 0.996 0.599
Er3 Er 0.703 0.401 0.004
Er4 Er 0.297 0.599 0.996
Er5 Er 0.000 0.500 0.500
Er6 Er 0.703 0.004 0.401
Er7 Er 0.792 0.793 0.793
```

***

This record from Alexandria via LeMat-Bulk describes an optimized crystal structure of Dy6HoEr4. The functional is GGA-PBE.

Properties
Energy of formation in eV/f.u.: 1.42
Symmetry: No. 63
E_tot in hartree per atom: -0.1638

```
data_Dy6HoEr4
_cell_length_a 5.647
_cell_length_b 5.546
_cell_length_c 25.407
_cell_angle_alpha 90.00
_cell_angle_beta 90.00
_cell_angle_gamma 120.61
_symmetry_space_group_name_H-M 'P 1'
_symmetry_Int_Tables_number 1
loop_
_symmetry_equiv_pos_as_xyz
'x,y,z'
loop_
_atom_site_label
_atom_site_type_symbol
_atom_site_fract_x
_atom_site_fract_y
_atom_site_fract_z
Dy1 Dy 0.500 0.000 0.000
Dy2 Dy 0.500 0.000 0.500
Dy3 Dy 0.141 0.282 0.318
Dy4 Dy 0.859 0.718 0.682
Dy5 Dy 0.859 0.718 0.818
Dy6 Dy 0.141 0.282 0.182
Dy7 Dy 0.809 0.618 0.396
Dy8 Dy 0.191 0.382 0.604
Dy9 Dy 0.191 0.382 0.896
Dy10 Dy 0.809 0.618 0.104
Dy11 Dy 0.475 0.950 0.250
Dy12 Dy 0.525 0.050 0.750
Ho1 Ho 0.810 0.620 0.250
Ho2 Ho 0.190 0.380 0.750
Er1 Er 0.844 0.687 0.543
Er2 Er 0.471 0.941 0.122
Er3 Er 0.156 0.313 0.457
Er4 Er 0.529 0.059 0.878
Er5 Er 0.844 0.687 0.957
Er6 Er 0.156 0.313 0.043
Er7 Er 0.529 0.059 0.622
Er8 Er 0.471 0.941 0.378
```

***

This record from Alexandria via LeMat-Bulk describes an optimized crystal structure of Dy14HoEr. The functional is GGA-PBE.

Properties
Energy of formation in eV/f.u.: 0.25
Symmetry: No. 123
E_tot in hartree per atom: -0.1684

```
data_Dy14HoEr
_cell_length_a 7.064
_cell_length_b 7.064
_cell_length_c 9.975
_cell_angle_alpha 90.00
_cell_angle_beta 90.00
_cell_angle_gamma 90.00
_symmetry_space_group_name_H-M 'P 1'
_symmetry_Int_Tables_number 1
loop_
_symmetry_equiv_pos_as_xyz
'x,y,z'
loop_
_atom_site_label
_atom_site_type_symbol
_atom_site_fract_x
_atom_site_fract_y
_atom_site_fract_z
Dy1 Dy 0.375 0.625 0.500
Dy2 Dy 0.875 0.125 0.500
Dy3 Dy 0.875 0.625 0.000
Dy4 Dy 0.875 0.625 0.500
Dy5 Dy 0.375 0.125 0.000
Dy6 Dy 0.375 0.125 0.500
Dy7 Dy 0.625 0.875 0.750
Dy8 Dy 0.625 0.875 0.250
Dy9 Dy 0.125 0.375 0.750
Dy10 Dy 0.125 0.375 0.250
Dy11 Dy 0.125 0.875 0.750
Dy12 Dy 0.125 0.875 0.250
Dy13 Dy 0.625 0.375 0.750
Dy14 Dy 0.625 0.375 0.250
Ho1 Ho 0.375 0.625 0.000
Er1 Er 0.875 0.125 0.000
```

***

This record from Alexandria via LeMat-Bulk describes an optimized crystal structure of Dy5Ho12Er. The functional is GGA-PBE.

Properties
Energy of formation in eV/f.u.: 0.30
Symmetry: No. 2
E_tot in hartree per atom: -0.1678

```
data_Dy5Ho12Er
_cell_length_a 23.540
_cell_length_b 14.881
_cell_length_c 6.094
_cell_angle_alpha 113.97
_cell_angle_beta 121.02
_cell_angle_gamma 18.54
_symmetry_space_group_name_H-M 'P 1'
_symmetry_Int_Tables_number 1
loop_
_symmetry_equiv_pos_as_xyz
'x,y,z'
loop_
_atom_site_label
_atom_site_type_symbol
_atom_site_fract_x
_atom_site_fract_y
_atom_site_fract_z
Dy1 Dy 0.500 0.000 0.500
Dy2 Dy 0.166 0.667 0.500
Dy3 Dy 0.834 0.333 0.500
Dy4 Dy 0.667 0.666 0.000
Dy5 Dy 0.333 0.334 0.000
Ho1 Ho 0.833 0.001 0.500
Ho2 Ho 0.167 0.999 0.500
Ho3 Ho 0.667 0.000 0.000
Ho4 Ho 0.333 0.000 0.000
Ho5 Ho 0.334 0.666 0.001
Ho6 Ho 0.999 0.667 0.000
Ho7 Ho 0.001 0.333 0.000
Ho8 Ho 0.666 0.334 0.999
Ho9 Ho 0.500 0.334 0.500
Ho10 Ho 0.834 0.666 0.500
Ho11 Ho 0.166 0.334 0.500
Ho12 Ho 0.500 0.666 0.500
Er1 Er 0.000 0.000 0.000
```

***

This record from Alexandria via LeMat-Bulk describes an optimized crystal structure of Dy3Ho5Er. The functional is GGA-PBE.

Properties
Energy of formation in eV/f.u.: 4.79
Symmetry: No. 12
E_tot in hartree per atom: -0.1489

```
data_Dy3Ho5Er
_cell_length_a 9.403
_cell_length_b 9.403
_cell_length_c 11.465
_cell_angle_alpha 52.83
_cell_angle_beta 52.83
_cell_angle_gamma 73.91
_symmetry_space_group_name_H-M 'P 1'
_symmetry_Int_Tables_number 1
loop_
_symmetry_equiv_pos_as_xyz
'x,y,z'
loop_
_atom_site_label
_atom_site_type_symbol
_atom_site_fract_x
_atom_site_fract_y
_atom_site_fract_z
Dy1 Dy 0.695 0.695 0.815
Dy2 Dy 0.659 0.659 0.362
Dy3 Dy 0.000 0.000 0.000
Dy4 Dy 0.000 0.000 0.500
Dy5 Dy 0.305 0.305 0.185
Dy6 Dy 0.341 0.341 0.638
Ho1 Ho 0.848 0.345 0.252
Ho2 Ho 0.259 0.741 0.000
Ho3 Ho 0.815 0.815 0.962
Ho4 Ho 0.490 0.490 0.232
Ho5 Ho 0.510 0.510 0.768
Ho6 Ho 0.185 0.185 0.038
Ho7 Ho 0.345 0.848 0.252
Ho8 Ho 0.741 0.259 0.000
Ho9 Ho 0.152 0.655 0.748
Ho10 Ho 0.655 0.152 0.748
Er1 Er 0.148 0.148 0.601
Er2 Er 0.852 0.852 0.399
```

***

This record from Alexandria via LeMat-Bulk describes an optimized crystal structure of Dy5Ho6Er2. The functional is GGA-PBE.

Properties
Energy of formation in eV/f.u.: 1.29
Symmetry: No. 55
E_tot in hartree per atom: -0.1649

```
data_Dy5Ho6Er2
_cell_length_a 3.541
_cell_length_b 11.511
_cell_length_c 20.064
_cell_angle_alpha 90.00
_cell_angle_beta 90.00
_cell_angle_gamma 90.00
_symmetry_space_group_name_H-M 'P 1'
_symmetry_Int_Tables_number 1
loop_
_symmetry_equiv_pos_as_xyz
'x,y,z'
loop_
_atom_site_label
_atom_site_type_symbol
_atom_site_fract_x
_atom_site_fract_y
_atom_site_fract_z
Dy1 Dy 0.500 0.301 0.450
Dy2 Dy 0.500 0.699 0.550
Dy3 Dy 0.500 0.801 0.050
Dy4 Dy 0.500 0.199 0.950
Dy5 Dy 0.500 0.588 0.273
Dy6 Dy 0.500 0.412 0.727
Dy7 Dy 0.500 0.088 0.227
Dy8 Dy 0.500 0.912 0.773
Dy9 Dy 0.500 0.500 0.000
Dy10 Dy 0.500 0.000 0.500
Ho1 Ho 0.000 0.083 0.369
Ho2 Ho 0.000 0.917 0.631
Ho3 Ho 0.000 0.583 0.131
Ho4 Ho 0.000 0.417 0.869
Ho5 Ho 0.500 0.327 0.136
Ho6 Ho 0.500 0.673 0.864
Ho7 Ho 0.500 0.827 0.364
Ho8 Ho 0.500 0.173 0.636
Ho9 Ho 0.000 0.559 0.419
Ho10 Ho 0.000 0.441 0.581
Ho11 Ho 0.000 0.059 0.081
Ho12 Ho 0.000 0.941 0.919
Er1 Er 0.000 0.332 0.290
Er2 Er 0.000 0.668 0.710
Er3 Er 0.000 0.832 0.210
Er4 Er 0.000 0.168 0.790
```

***

- Which value of E_tot does entry 4 give?
  -0.1638 hartree per atom

***

- Which of these has the lowest energy of formation?
  Dy14HoEr

***

- Which value of E_tot does entry 6 give?
  -0.1678 hartree per atom